Run i
Compound: ZrScSe2
Source: Alexandria
Functional: SCAN
Structure: PBEsol geometry

Results
N(E_F)	1.11	states/eV/f.u.
V	19.76	A^3/atom

a = 3.645 Å, b = 3.645 Å, c = 5.950 Å
α = 90.00°, β = 90.00°, γ = 90.00°
Space group P4mm (No. 99)
Symmetry-distinct sites (fractional):
Zr  0.000  0.000  0.000 [1 per cell]
Sc  0.500  0.500  0.337 [1 per cell]
Se  0.000  0.000  0.467 [1 per cell]
Se  0.500  0.500  0.861 [1 per cell]

***

Run ii
Compound: ZrScSe2
Source: Alexandria
Functional: SCAN
Structure: PBEsol geometry

Results
N(E_F)	1.61	states/eV/f.u.
V	19.62	A^3/atom

a = 3.542 Å, b = 3.569 Å, c = 12.418 Å
α = 90.00°, β = 90.00°, γ = 90.00°
Space group Imm2 (No. 44)
Symmetry-distinct sites (fractional):
Zr  0.000  0.000  0.000 [2 per cell]
Sc  0.000  0.500  0.744 [2 per cell]
Se  0.000  0.000  0.411 [2 per cell]
Se  0.000  0.500  0.163 [2 per cell]

***

Which of them is the most stable? Correct choice: run ii.

***

Run i
Compound: MoOs2Rh
Source: Alexandria
Functional: SCAN
Structure: PBEsol geometry

Results
N(E_F)	3.67	states/eV/f.u.
V	14.16	A^3/atom

a = 2.7070 Å, b = 2.7070 Å, c = 26.7816 Å
α = 90.00°, β = 90.00°, γ = 120.00°
Space group R-3m (No. 166, hexagonal axes)
Symmetry-distinct sites (fractional):
Mo  0.0000  0.0000  0.0000 [3 per cell]
Os  0.0000  0.0000  0.2494 [6 per cell]
Rh  0.0000  0.0000  0.5000 [3 per cell]

***

Run ii
Compound: MoOs2Rh
Source: Alexandria
Functional: SCAN
Structure: PBEsol geometry

Results
N(E_F)	3.07	states/eV/f.u.
V	14.18	A^3/atom

a = 2.703 Å, b = 2.703 Å, c = 7.761 Å
α = 90.00°, β = 90.00°, γ = 90.00°
Space group P4mm (No. 99)
Symmetry-distinct sites (fractional):
Mo  0.000  0.000  0.000 [1 per cell]
Os  0.000  0.000  0.501 [1 per cell]
Os  0.500  0.500  0.268 [1 per cell]
Rh  0.500  0.500  0.755 [1 per cell]

***

Which of them is the most stable? Correct choice: run ii.

***

Run i
Compound: LiAl2Ag
Source: Alexandria
Functional: SCAN
Structure: PBEsol geometry

Results
N(E_F)	0.95	states/eV/f.u.
V	15.55	A^3/atom

a = 3.967 Å, b = 3.967 Å, c = 7.904 Å
α = 90.00°, β = 90.00°, γ = 90.00°
Space group I-4m2 (No. 119)
Symmetry-distinct sites (fractional):
Li  0.000  0.000  0.000 [2 per cell]
Al  0.000  0.000  0.500 [2 per cell]
Al  0.000  0.500  0.750 [2 per cell]
Ag  0.000  0.500  0.250 [2 per cell]

***

Run ii
Compound: LiAl2Ag
Source: Alexandria
Functional: SCAN
Structure: PBEsol geometry

Results
N(E_F)	1.25	states/eV/f.u.
V	15.90	A^3/atom

a = 5.450 Å, b = 8.125 Å, c = 2.873 Å
α = 90.00°, β = 90.00°, γ = 90.00°
Space group Cmmm (No. 65)
Symmetry-distinct sites (fractional):
Li  0.000  0.000  0.000 [2 per cell]
Al  0.250  0.250  0.500 [4 per cell]
Ag  0.000  0.500  0.000 [2 per cell]

***

Which of them is the most stable? Correct choice: run i.

***

Run i
Compound: LiTc
Source: Alexandria
Functional: SCAN
Structure: PBEsol geometry

Results
N(E_F)	1.88	states/eV/f.u.
V	11.91	A^3/atom

a = 2.878 Å, b = 2.878 Å, c = 2.878 Å
α = 90.00°, β = 90.00°, γ = 90.00°
Space group Pm-3m (No. 221)
Symmetry-distinct sites (fractional):
Li  0.000  0.000  0.000 [1 per cell]
Tc  0.500  0.500  0.500 [1 per cell]

***

Run ii
Compound: LiTc
Source: Alexandria
Functional: SCAN
Structure: PBEsol geometry

Results
N(E_F)	0.98	states/eV/f.u.
V	13.98	A^3/atom

a = 8.739 Å, b = 2.449 Å, c = 5.230 Å
α = 90.00°, β = 91.59°, γ = 90.00°
Space group C2/m (No. 12)
Symmetry-distinct sites (fractional):
Li  0.123  0.000  0.391 [4 per cell]
Tc  0.121  0.500  0.903 [4 per cell]

***

Which of them is the most stable? Correct choice: run ii.